1.
The following is a DFT calculation (PBEsol) of a relaxed TlCu7S4 crystal.

The structure belongs to space group P4/n (No. 85, origin choice 2); the cell edges are 10.002, 10.002 and 7.407 Å and the angles 90.00°, 90.00° and 90.00°. The inequivalent atoms are Tl at (0.250, 0.250, 0.120), Tl at (0.250, 0.250, 0.621), Cu at (0.000, 0.000, 0.000), Cu at (0.027, 0.948, 0.653), Cu at (0.113, 0.781, 0.383), Cu at (0.119, 0.774, 0.878), S at (0.006, 0.694, 0.130) and S at (0.007, 0.688, 0.630).

The energy above the most stable polymorph in this dataset comes out at 2.3 meV per atom.

=====

2.
The following is a DFT calculation (PBEsol) of a relaxed InFeNi crystal.

The structure belongs to space group P3m1 (No. 156); the cell edges are 2.8492, 2.8492 and 6.1349 Å and the angles 90.00°, 90.00° and 120.00°. The inequivalent atoms are In at (0.0000, 0.0000, 0.0000), Fe at (0.3333, 0.6667, 0.3654) and Ni at (0.6667, 0.3333, 0.6524).

The energy above the most stable polymorph in this dataset comes out at 218.2 meV per atom.